(1)
Crystalline CrAgO4 at its relaxed geometry, computed with PBEsol.

a b c (Å): 5.3632 8.4224 8.6506
angles (deg): 90.00 120.34 90.00
Fractional coordinates of all 24 atoms:
Cr 0.1518 0.2052 0.3859
Cr 0.1518 0.2948 0.8859
Cr 0.8482 0.7052 0.1141
Cr 0.8482 0.7948 0.6141
Ag 0.4561 0.5022 0.6811
Ag 0.4561 0.9978 0.1811
Ag 0.5439 0.0022 0.8189
Ag 0.5439 0.4978 0.3189
O 0.1543 0.1267 0.2121
O 0.1543 0.3733 0.7121
O 0.1787 0.7284 0.1623
O 0.1787 0.7716 0.6623
O 0.3171 0.1098 0.9303
O 0.3171 0.3902 0.4303
O 0.3280 0.0887 0.5588
O 0.3280 0.4113 0.0588
O 0.6720 0.5887 0.9412
O 0.6720 0.9113 0.4412
O 0.6829 0.6098 0.5697
O 0.6829 0.8902 0.0697
O 0.8213 0.2284 0.3377
O 0.8213 0.2716 0.8377
O 0.8457 0.6267 0.2879
O 0.8457 0.8733 0.7879

Output
**Energy above the most stable polymorph in this dataset**: 14 meV per atom
**Spin magnetization**: 0.00 μB/atom
**Space-group type**: P2_1/c
**Formation energy from raw total energies**: -1117 meV per atom


(2)
Crystalline LaPW2 at its relaxed geometry, computed with PBEsol.

a b c (Å): 3.0019 3.0019 27.4233
angles (deg): 90.00 90.00 120.00
Fractional coordinates of all 12 atoms:
La 0.0000 0.0000 0.0000
La 0.3333 0.6667 0.6667
La 0.6667 0.3333 0.3333
P 0.0000 0.0000 0.5000
P 0.3333 0.6667 0.1667
P 0.6667 0.3333 0.8333
W 0.0000 0.0000 0.2309
W 0.0000 0.0000 0.7691
W 0.3333 0.6667 0.4357
W 0.3333 0.6667 0.8976
W 0.6667 0.3333 0.1024
W 0.6667 0.3333 0.5643

Output
**Energy above the most stable polymorph in this dataset**: 213 meV per atom
**Spin magnetization**: 0.00 μB/atom
**Space-group type**: R-3m
**Formation enthalpy at 0 K**: 0.440 eV/atom


(3)
Crystalline CsPtNO2 at its relaxed geometry, computed with PBEsol.

a b c (Å): 4.2801 4.2801 3.7622
angles (deg): 90.00 90.00 90.00
Fractional coordinates of all 5 atoms:
Cs 0.0000 0.0000 0.0000
Pt 0.5000 0.5000 0.5000
N 0.5000 0.5000 0.0000
O 0.0000 0.5000 0.5000
O 0.5000 0.0000 0.5000

Output
**Spin magnetization**: 0.00 μB/atom
**Space-group type**: P4/mmm
**Formation energy from raw total energies**: 75 meV per atom


(4)
Crystalline TbMgPd at its relaxed geometry, computed with PBEsol.

a b c (Å): 7.3791 7.3791 4.0167
angles (deg): 90.00 90.00 120.00
Fractional coordinates of all 9 atoms:
Tb 0.0000 0.5879 0.0000
Tb 0.4121 0.4121 0.0000
Tb 0.5879 0.0000 0.0000
Mg 0.0000 0.2447 0.5000
Mg 0.2447 0.0000 0.5000
Mg 0.7553 0.7553 0.5000
Pd 0.0000 0.0000 0.0000
Pd 0.3333 0.6667 0.5000
Pd 0.6667 0.3333 0.5000

Output
**Spin magnetization**: 0.00 μB/atom
**Space-group type**: P-62m
**Formation enthalpy at 0 K**: -0.660 eV/atom


Look up the spin magnetization of the fourth one.
0.00 μB/atom